{
  "formula": "BeCu2Pt2",
  "functional": "PBE",
  "state": "relaxed",
  "n_ef_per_ev_cell": 1.12,
  "total_magnetization_mub_per_cell": 0.00,
  "sg": "I4/mmm",
  "e_above_lowest_polymorph_ev_per_fu": 0.00,
  "dft_energy_ev_per_atom": -5.21,
  "cell": [[-0.837, -1.123, -2.419], [-1.703, -1.726, 1.390], [-4.637, 6.866, 0.032]],
  "species": ["Be", "Cu", "Cu", "Pt", "Pt"],
  "fractional_positions": [[0.000, 0.000, 0.000], [0.798, 0.798, 0.595], [0.202, 0.202, 0.405], [0.589, 0.589, 0.179], [0.411, 0.411, 0.821]]
}